Record 1
DFT (SCAN) results for a PBEsol-optimized structure of TlFeRh2.

Unit cell a=2.794 b=4.868 c=5.242 alpha=116.89 beta=104.22 gamma=92.59
Positions (direct):
Fe 0.500 0.000 0.000
Rh 0.000 0.000 0.500
Tl 0.000 0.500 0.000
Rh 0.500 0.500 0.500

=====

Record 2
DFT (SCAN) results for a PBEsol-optimized structure of TlFeRh.

Unit cell a=2.944 b=4.306 c=4.306 alpha=120.00 beta=90.00 gamma=90.00
Positions (direct):
Tl 0.323 0.667 0.333
Fe 0.910 0.000 0.000
Rh 0.767 0.333 0.667

=====

Record 3
DFT (SCAN) results for a PBEsol-optimized structure of Fe4RhW.

Unit cell a=4.623 b=4.623 c=4.623 alpha=60.00 beta=60.00 gamma=60.00
Positions (direct):
Fe 0.873 0.376 0.376
Rh 0.750 0.750 0.750
Fe 0.376 0.873 0.376
Fe 0.376 0.376 0.873
W 0.000 0.000 0.000
Fe 0.376 0.376 0.376

=====

Record 4
DFT (SCAN) results for a PBEsol-optimized structure of FeRhW3.

Unit cell a=4.357 b=4.357 c=4.357 alpha=90.00 beta=90.00 gamma=90.00
Positions (direct):
Fe 0.000 0.000 0.000
W 0.500 0.000 0.000
W 0.000 0.000 0.500
W 0.000 0.500 0.000
Rh 0.500 0.500 0.500

=====

Record 5
DFT (SCAN) results for a PBEsol-optimized structure of ZnFeRh2.

Unit cell a=2.687 b=2.687 c=8.467 alpha=80.87 beta=80.87 gamma=60.00
Positions (direct):
Rh 0.252 0.252 0.245
Rh 0.748 0.748 0.755
Fe 0.000 0.000 0.000
Zn 0.500 0.500 0.500

=====

Record 6
DFT (SCAN) results for a PBEsol-optimized structure of ZnFeRh2.

Unit cell a=2.995 b=4.162 c=4.162 alpha=90.00 beta=90.00 gamma=90.00
Positions (direct):
Fe 0.500 0.000 0.000
Zn 0.500 0.500 0.500
Rh 0.000 0.500 0.000
Rh 0.000 0.000 0.500

=====

Record 7
DFT (SCAN) results for a PBEsol-optimized structure of ZnFeRh2.

Unit cell a=4.209 b=4.209 c=4.209 alpha=60.00 beta=60.00 gamma=60.00
Positions (direct):
Zn 0.250 0.250 0.250
Rh 0.750 0.750 0.750
Fe 0.500 0.500 0.500
Rh 0.000 0.000 0.000

=====

Record 8
DFT (SCAN) results for a PBEsol-optimized structure of ZnFe3Rh.

Unit cell a=4.243 b=4.243 c=4.243 alpha=90.00 beta=90.00 gamma=90.00
Positions (direct):
Rh 0.500 0.500 0.500
Zn 0.000 0.000 0.000
Fe 0.500 0.000 0.000
Fe 0.000 0.000 0.500
Fe 0.000 0.500 0.000

=====

Record 9
DFT (SCAN) results for a PBEsol-optimized structure of Zn2FeRh2.

Unit cell a=3.249 b=3.249 c=7.058 alpha=103.31 beta=103.31 gamma=90.00
Positions (direct):
Fe 0.000 0.000 0.000
Rh 0.402 0.402 0.804
Zn 0.250 0.750 0.500
Rh 0.598 0.598 0.196
Zn 0.750 0.250 0.500

=====

Record 10
DFT (SCAN) results for a PBEsol-optimized structure of ZnFeRh2.

Unit cell a=2.663 b=3.779 c=5.133 alpha=90.00 beta=90.03 gamma=90.00
Positions (direct):
Rh 0.500 0.500 0.262
Rh 0.000 0.000 0.985
Fe 0.500 0.500 0.757
Zn 0.000 0.000 0.496

=====

Record 11
DFT (SCAN) results for a PBEsol-optimized structure of ZrFeRh2.

Unit cell a=4.365 b=4.365 c=4.365 alpha=60.00 beta=60.00 gamma=60.00
Positions (direct):
Rh 0.000 0.000 0.000
Rh 0.750 0.750 0.750
Fe 0.500 0.500 0.500
Zr 0.250 0.250 0.250

=====

Record 12
DFT (SCAN) results for a PBEsol-optimized structure of ZrFeRh2.

Unit cell a=3.805 b=3.805 c=4.861 alpha=113.04 beta=113.04 gamma=90.00
Positions (direct):
Rh 0.750 0.250 0.500
Zr 0.500 0.500 0.000
Fe 0.250 0.750 0.500
Rh 0.000 0.000 0.000

=====

| no. | DOS at the Fermi energy (states/eV/f.u.) | formation enthalpy at 0 K (meV/atom) |
| --- | --- | --- |
| 1 | 2.83 | 273 |
| 2 | 1.78 | 250 |
| 3 | 5.51 | 24 |
| 4 | 3.58 | 1445 |
| 5 | 2.36 | -222 |
| 6 | 1.72 | -367 |
| 7 | 3.68 | -32 |
| 8 | 2.39 | 1129 |
| 9 | 1.98 | 50 |
| 10 | 3.32 | -177 |
| 11 | 5.37 | -288 |
| 12 | 3.95 | -501 |